A plane-wave DFT calculation with PBE-GGA was carried out for an optimized crystal structure of La6Bi5O.

Output
Formation energy from raw total energies (eV/f.u.): -14.093
DFT total energy (Ry per atom): -0.4166

Unit cell a=8.0092 b=8.0092 c=7.9529 alpha=99.10 beta=99.10 gamma=120.81
Last column: nearest neighbours and their distance in Å.
Element x y z (fractional)
La 0.0925 0.4263 0.7564  5 Bi 3.20-3.34, 1 O 3.33
La 0.1882 0.1882 0.3118  1 O 2.43
La 0.4263 0.0925 0.7564  5 Bi 3.20-3.34, 1 O 3.33
La 0.5737 0.9075 0.2436  5 Bi 3.20-3.34, 1 O 3.33
La 0.8118 0.8118 0.6882  1 O 2.43
La 0.9075 0.5737 0.2436  5 Bi 3.20-3.34, 1 O 3.33
Bi 0.1629 0.8371 0.0000  6 La 3.24-3.34
Bi 0.3343 0.6657 0.5000  6 La 3.20-3.36
Bi 0.5000 0.5000 0.0000  4 La 3.23
Bi 0.6657 0.3343 0.5000  6 La 3.20-3.36
Bi 0.8371 0.1629 0.0000  6 La 3.24-3.34
O 0.0000 0.0000 0.5000  2 La 2.43

A plane-wave DFT calculation with PBE-GGA was carried out for an optimized crystal structure of Er2Zn7Ag.

Output
ΔH_f (0 K) (meV/atom): -262
DFT total energy (Ry per atom): -0.1729

Unit cell a=4.0893 b=4.0893 c=10.9759 alpha=90.00 beta=90.00 gamma=90.00
Last column: nearest neighbours and their distance in Å.
Element x y z (fractional)
Er 0.0000 0.5000 0.2406  12 Zn 3.12-3.34
Er 0.5000 0.0000 0.7594  12 Zn 3.12-3.34
Zn 0.0000 0.0000 0.0000  4 Zn 2.52
Zn 0.0000 0.5000 0.6467  3 Zn 2.41-2.60, 2 Ag 2.60
Zn 0.0000 0.5000 0.8660  5 Zn 2.41-2.52
Zn 0.5000 0.0000 0.1340  5 Zn 2.41-2.52
Zn 0.5000 0.0000 0.3533  3 Zn 2.41-2.60, 2 Ag 2.60
Zn 0.5000 0.5000 0.0000  4 Zn 2.52
Zn 0.5000 0.5000 0.5000  4 Zn 2.60, 4 Ag 2.89
Ag 0.0000 0.0000 0.5000  8 Zn 2.60-2.89

A plane-wave DFT calculation with PBE-GGA was carried out for an optimized crystal structure of BaNaY2Cd.

Output
ΔH_f (0 K) (meV/atom): 1077
DFT total energy (Ry per atom): -0.1720

Unit cell a=5.8100 b=5.8100 c=5.6793 alpha=90.00 beta=90.00 gamma=90.00
Last column: nearest neighbours and their distance in Å.
Element x y z (fractional)
Ba 0.0000 0.0000 0.0000  2 Na 2.84, 4 Y 2.90
Na 0.0000 0.0000 0.5000  2 Ba 2.84
Y 0.0000 0.5000 0.0000  2 Ba 2.90
Y 0.5000 0.0000 0.0000  2 Ba 2.90
Cd 0.5000 0.5000 0.5000  8 Y 4.06, 4 Na 4.11

A plane-wave DFT calculation with PBE-GGA was carried out for an optimized crystal structure of Al3MoCl.

Output
Formation energy from raw total energies (eV/f.u.): 2.962
Excess energy over the best structure of this formula in the dataset (meV per atom): 0
DFT total energy (Ry per atom): -0.3079

Unit cell a=5.0024 b=5.0024 c=5.0024 alpha=90.00 beta=90.00 gamma=90.00
Last column: nearest neighbours and their distance in Å.
Element x y z (fractional)
Al 0.0000 0.0000 0.5000  2 Mo 2.50
Al 0.0000 0.5000 0.0000  2 Mo 2.50
Al 0.5000 0.0000 0.0000  2 Mo 2.50
Mo 0.0000 0.0000 0.0000  6 Al 2.50
Cl 0.5000 0.5000 0.5000  12 Al 3.54

A plane-wave DFT calculation with PBE-GGA was carried out for an optimized crystal structure of KMn2Cl.

Output
Formation energy from raw total energies (eV/f.u.): 2.129
Excess energy over the best structure of this formula in the dataset (meV per atom): 481
DFT total energy (Ry per atom): -0.3520

Unit cell a=10.1682 b=10.1682 c=10.1682 alpha=18.55 beta=18.55 gamma=18.55
Last column: nearest neighbours and their distance in Å.
Element x y z (fractional)
K 0.0000 0.0000 0.0000  6 K 3.28, 6 Mn 3.56
Mn 0.2328 0.2328 0.2328  3 Cl 2.74
Mn 0.7672 0.7672 0.7672  3 Cl 2.74
Cl 0.5000 0.5000 0.5000  6 Mn 2.74

A plane-wave DFT calculation with PBE-GGA was carried out for an optimized crystal structure of CeAl3Co.

Output
ΔH_f (0 K) (meV/atom): -501
Excess energy over the best structure of this formula in the dataset (meV per atom): 0
DFT total energy (Ry per atom): -0.3935

Unit cell a=8.1412 b=4.0368 c=10.7992 alpha=90.00 beta=90.00 gamma=90.00
Last column: nearest neighbours and their distance in Å.
Element x y z (fractional)
Ce 0.1812 0.2500 0.0037  2 Co 3.00, 9 Al 3.09-3.36
Ce 0.3188 0.7500 0.5037  2 Co 3.00, 9 Al 3.09-3.36
Ce 0.6812 0.2500 0.4963  2 Co 3.00, 9 Al 3.09-3.36
Ce 0.8188 0.7500 0.9963  2 Co 3.00, 9 Al 3.09-3.36
Al 0.0506 0.2500 0.5823  3 Co 2.46-2.53, 1 Al 2.65
Al 0.1071 0.7500 0.7742  2 Co 2.37-2.40
Al 0.1479 0.7500 0.2235  2 Co 2.52, 1 Al 2.65
Al 0.3521 0.2500 0.7235  2 Co 2.52, 1 Al 2.65
Al 0.3929 0.2500 0.2742  2 Co 2.37-2.40
Al 0.4494 0.7500 0.0823  3 Co 2.46-2.53, 1 Al 2.65
Al 0.5506 0.2500 0.9177  3 Co 2.46-2.53, 1 Al 2.65
Al 0.6071 0.7500 0.7258  2 Co 2.37-2.40
Al 0.6479 0.7500 0.2765  2 Co 2.52, 1 Al 2.65
Al 0.8521 0.2500 0.7765  2 Co 2.52, 1 Al 2.65
Al 0.8929 0.2500 0.2258  2 Co 2.37-2.40
Al 0.9494 0.7500 0.4177  3 Co 2.46-2.53, 1 Al 2.65
Co 0.1219 0.2500 0.3611  7 Al 2.37-2.53
Co 0.3781 0.7500 0.8611  7 Al 2.37-2.53
Co 0.6219 0.2500 0.1389  7 Al 2.37-2.53
Co 0.8781 0.7500 0.6389  7 Al 2.37-2.53

A plane-wave DFT calculation with PBE-GGA was carried out for an optimized crystal structure of Ca2LaPPb.

Output
ΔH_f (0 K) (meV/atom): -813
DFT total energy (Ry per atom): -0.3250

Unit cell a=5.3872 b=5.3872 c=5.6869 alpha=90.00 beta=90.00 gamma=90.00
Last column: nearest neighbours and their distance in Å.
Element x y z (fractional)
Ca 0.0000 0.5000 0.0000  2 P 2.69
Ca 0.5000 0.0000 0.0000  2 P 2.69
La 0.0000 0.0000 0.5000  2 P 2.84
P 0.0000 0.0000 0.0000  4 Ca 2.69, 2 La 2.84
Pb 0.5000 0.5000 0.5000  4 La 3.81, 8 Ca 3.92

Among the records above, which one has the lowest DFT total energy?
La6Bi5O